An optimized crystal structure of YMgGaPt. Source: the Open Quantum Materials Database, functional PBE.

The structure in POSCAR format:
```
YMgGaPt
1.0
0.000 3.351 3.351
3.351 0.000 3.351
3.351 3.351 0.000
Ga Pt Y Mg
1 1 1 1
Cartesian
3.351 3.351 3.351
1.675 1.675 1.675
0.000 0.000 0.000
5.026 5.026 5.026
```

Energy relative to the lowest polymorph listed for this composition ... 108 meV/atom
Symmetry ... F-43m, No. 216
Final energy ... -19.68 eV for the cell shown